Entry 1:
A plane-wave DFT calculation with GGA-PBE was carried out for a relaxed Ac3ScO6 crystal.

a b c (Å): 6.0052 7.8763 7.8763
angles (deg): 102.87 90.00 90.00
Fractional coordinates of all 20 atoms:
O: 0.6759 0.8905 0.4120
O: 0.2090 0.6703 0.6480
O: 0.1496 0.0449 0.9551
O: 0.7090 0.3297 0.3520
O: 0.1759 0.1095 0.5880
O: 0.1759 0.4120 0.8905
O: 0.2090 0.3520 0.3297
O: 0.6759 0.5880 0.1095
O: 0.6715 0.2145 0.7855
O: 0.1715 0.7855 0.2145
O: 0.6496 0.9551 0.0449
O: 0.7090 0.6480 0.6703
Sc: 0.5075 0.8088 0.1912
Sc: 0.0076 0.1912 0.8088
Ac: 0.4739 0.3020 0.0864
Ac: 0.9390 0.6050 0.3950
Ac: 0.9739 0.6980 0.9136
Ac: 0.4739 0.9136 0.6980
Ac: 0.4390 0.3950 0.6050
Ac: 0.9739 0.0864 0.3020

## Properties
The raw formation energy comes out at -3.381 eV per atom. The calculation puts the distance to the lowest polymorph of the same formula at 0 meV/atom. As for the space group: Cmc2_1.

Entry 2:
A plane-wave DFT calculation with GGA-PBE was carried out for a relaxed AcScO3 crystal.

a b c (Å): 4.1244 4.1244 4.1244
angles (deg): 90.00 90.00 90.00
Fractional coordinates of all 5 atoms:
O: 0.5000 0.0000 0.5000
O: 0.0000 0.5000 0.5000
O: 0.5000 0.5000 0.0000
Sc: 0.5000 0.5000 0.5000
Ac: 0.0000 0.0000 0.0000

## Properties
The raw formation energy comes out at -3.413 eV per atom. As for the space group: Pm-3m.

Entry 3:
A plane-wave DFT calculation with GGA-PBE was carried out for a relaxed AcScO3 crystal.

a b c (Å): 4.0342 5.7563 6.8026
angles (deg): 115.03 90.00 90.00
Fractional coordinates of all 10 atoms:
O: 0.5000 0.2593 0.0000
O: 0.0000 0.1517 0.3034
O: 0.0000 0.8483 0.6966
O: 0.5000 0.7407 0.0000
O: 0.5000 0.5000 0.5000
O: 0.5000 0.0000 0.5000
Ac: 0.0000 0.3502 0.7003
Ac: 0.0000 0.6498 0.2997
Sc: 0.5000 0.1199 0.2398
Sc: 0.5000 0.8801 0.7602

## Properties
The raw formation energy comes out at -3.324 eV per atom. As for the space group: Cmmm.

Entry 4:
A plane-wave DFT calculation with GGA-PBE was carried out for a relaxed Ac3ScO6 crystal.

a b c (Å): 7.1511 7.1511 7.1511
angles (deg): 92.81 92.81 92.81
Fractional coordinates of all 20 atoms:
Sc: 0.0000 0.0000 0.0000
Sc: 0.5000 0.5000 0.5000
O: 0.5845 0.4584 0.7901
O: 0.5416 0.2099 0.4155
O: 0.4583 0.7901 0.5845
O: 0.0617 0.9258 0.2935
O: 0.9383 0.0742 0.7065
O: 0.0742 0.7065 0.9383
O: 0.2099 0.4155 0.5416
O: 0.7065 0.9383 0.0742
O: 0.7901 0.5845 0.4584
O: 0.4155 0.5417 0.2099
O: 0.2935 0.0617 0.9258
O: 0.9258 0.2935 0.0617
Ac: 0.0714 0.5636 0.2559
Ac: 0.4364 0.7441 0.9286
Ac: 0.2559 0.0714 0.5636
Ac: 0.5636 0.2559 0.0714
Ac: 0.9286 0.4364 0.7441
Ac: 0.7441 0.9286 0.4364

## Properties
The raw formation energy comes out at -3.359 eV per atom. The calculation puts the distance to the lowest polymorph of the same formula at 22 meV/atom. As for the space group: R-3.

Entry 5:
A plane-wave DFT calculation with GGA-PBE was carried out for a relaxed AcScO crystal.

a b c (Å): 3.5421 3.5421 6.2933
angles (deg): 90.00 90.00 120.00
Last column: magnetic moment on the atom in μB.
Fractional coordinates of all 3 atoms:
O: 0.3333 0.6667 0.5880  0.00
Ac: 0.0000 0.0000 0.9347  -0.01
Sc: 0.6667 0.3333 0.4772  0.13

## Properties
The raw formation energy comes out at -1.596 eV per atom. The calculation puts the distance to the lowest polymorph of the same formula at 0 meV/atom. As for the space group: P3m1.

Entry 6:
A plane-wave DFT calculation with GGA-PBE was carried out for a relaxed AcSc2SeO8 crystal.

a b c (Å): 4.6753 4.6851 7.0099
angles (deg): 89.99 89.99 90.15
Last column: magnetic moment on the atom in μB.
Fractional coordinates of all 12 atoms:
O: 0.1632 0.7922 0.8099  0.00
O: 0.8368 0.2078 0.1901  0.00
O: 0.4675 0.2760 0.5000  0.09
O: 0.3059 0.2570 0.0001  0.00
O: 0.5325 0.7240 0.5000  0.09
O: 0.1630 0.7920 0.1901  0.00
O: 0.8370 0.2080 0.8099  0.00
O: 0.6941 0.7430 0.9999  0.00
Se: 0.0000 0.0000 0.0000  0.00
Sc: 0.5000 0.4999 0.7807  0.00
Sc: 0.5000 0.5001 0.2193  0.00
Ac: 0.0000 0.0000 0.5000  0.00

## Properties
The raw formation energy comes out at -2.195 eV per atom. As for the space group: P2/m.

Entry 7:
A plane-wave DFT calculation with GGA-PBE was carried out for a relaxed AcScSe2O8 crystal.

a b c (Å): 5.5211 5.5211 7.2076
angles (deg): 90.00 90.00 120.00
Last column: magnetic moment on the atom in μB.
Fractional coordinates of all 12 atoms:
O: 0.6667 0.3333 0.0375  0.01
O: 0.9459 0.6958 0.3017  0.21
O: 0.0541 0.3042 0.6983  0.21
O: 0.3042 0.2500 0.3017  0.21
O: 0.2500 0.9459 0.6983  0.21
O: 0.3333 0.6667 0.9625  0.01
O: 0.6958 0.7500 0.6983  0.21
O: 0.7500 0.0541 0.3017  0.21
Ac: 0.0000 0.0000 0.0000  0.03
Sc: 0.0000 0.0000 0.5000  0.02
Se: 0.6667 0.3333 0.2721  0.16
Se: 0.3333 0.6667 0.7279  0.16

## Properties
The raw formation energy comes out at -1.722 eV per atom. As for the space group: P-3.

Entry 8:
A plane-wave DFT calculation with GGA-PBE was carried out for a relaxed AcScSeO2 crystal.

a b c (Å): 4.0903 4.0904 6.1971
angles (deg): 90.00 90.00 90.00
Fractional coordinates of all 5 atoms:
Se: 0.0000 0.0000 0.4467
Sc: 0.0000 0.0000 0.0218
O: 0.0000 0.5000 0.9230
O: 0.5000 0.0000 0.9229
Ac: 0.5000 0.5000 0.6856

## Properties
The raw formation energy comes out at -3.004 eV per atom. As for the space group: P4mm.